A relaxed Ca4YPd5 crystal, computed with PBE.

Cell: 3.535 3.535 17.623 Å, 90.00 90.00 90.00°
Element x y z (fractional)
Ca 0.000 0.000 0.099
Ca 0.000 0.000 0.298
Ca 0.000 0.000 0.702
Ca 0.000 0.000 0.901
Y 0.000 0.000 0.500
Pd 0.500 0.500 0.000
Pd 0.500 0.500 0.199
Pd 0.500 0.500 0.407
Pd 0.500 0.500 0.593
Pd 0.500 0.500 0.801

As for the total energy: -47.75 eV/cell. As for the space group: P4/mmm, No. 123.


A relaxed Tb2SmAu crystal, computed with PBE.

Cell: 3.648 3.648 8.555 Å, 90.00 90.00 90.00°
Element x y z (fractional)
Tb 0.000 0.000 0.204
Tb 0.000 0.000 0.796
Sm 0.500 0.500 0.500
Au 0.500 0.500 0.000

As for the total energy: -18.84 eV/cell. The value obtained for the relative energy among the computed polymorphs is 32 meV per atom. As for the space group: P4/mmm, No. 123.


So what do the calculations give for calculated volume? Going down the list: 220.2; 113.8 Å³/cell.
So what do the calculations give for DFT formation energy? Going down the list: -0.731; -0.395 eV per atom.